Entry 1:
## In5Hg2Bi3 (PBE-GGA)

Data for crystalline In5Hg2Bi3 at its relaxed geometry.

Cell and atoms, written as POSCAR:
```
In5Hg2Bi3
1.0
6.903 0.000 0.000
-1.356 6.796 0.000
-0.213 -2.334 12.375
In Hg Bi
10 4 6
Cartesian
0.197 -0.264 2.705
0.730 -0.106 7.165
0.071 3.312 7.117
1.895 1.779 4.725
2.251 0.626 10.344
3.083 3.837 2.031
3.439 2.684 7.650
5.263 1.151 5.258
4.604 4.569 5.210
5.137 4.726 9.670
1.218 1.490 0.304
0.587 5.013 0.378
4.747 -0.550 11.997
4.116 2.973 12.071
-0.562 3.134 2.813
1.414 5.112 4.567
1.459 3.858 9.977
3.875 0.604 2.398
3.920 -0.650 7.808
5.896 1.329 9.562
```

Its space group is No. 2. The total energy is -2.5681 eV per atom. The size of the total moment is 0.000 μB/atom. The value obtained for the calculated volume is 29.03 Å³/atom.

***

Entry 2:
## In2Hg2Bi (PBE-GGA)

Data for crystalline In2Hg2Bi at its relaxed geometry.

Cell and atoms, written as POSCAR:
```
In2Hg2Bi
1.0
9.126 0.000 0.000
0.000 9.126 0.000
0.000 0.000 3.398
In Hg Bi
4 4 2
Cartesian
1.681 2.882 0.000
2.882 7.446 0.000
6.244 1.681 0.000
7.446 6.244 0.000
1.094 5.657 1.699
3.469 1.094 1.699
5.657 8.032 1.699
8.032 3.469 1.699
0.000 0.000 0.000
4.563 4.563 0.000
```

Its space group is No. 127. The total energy is -1.9422 eV per atom. The size of the total moment is 0.000 μB/atom. The value obtained for the calculated volume is 28.30 Å³/atom.

***

Entry 3:
## InHg2Bi5 (PBE-GGA)

Data for crystalline InHg2Bi5 at its relaxed geometry.

Cell and atoms, written as POSCAR:
```
InHg2Bi5
1.0
4.878 -4.480 0.000
4.878 4.480 0.000
-4.434 0.000 5.662
In Hg Bi
1 2 5
Cartesian
0.000 0.000 0.000
3.697 0.000 0.052
6.726 0.000 3.037
0.920 0.000 3.065
3.858 1.877 2.761
6.921 1.654 0.079
3.858 -1.877 2.761
6.921 -1.654 0.079
```

Its space group is No. 8. The total energy is -2.7662 eV per atom. The size of the total moment is 0.000 μB/atom. The value obtained for the calculated volume is 30.93 Å³/atom.

***

Entry 4:
## In4Hg7Bi (PBE-GGA)

Data for crystalline In4Hg7Bi at its relaxed geometry.

Cell and atoms, written as POSCAR:
```
In4Hg7Bi
1.0
4.830 0.000 0.000
-2.415 4.183 0.000
0.000 0.000 16.614
In Hg Bi
4 7 1
Cartesian
0.000 2.788 2.770
0.000 2.788 7.046
2.415 1.394 9.568
2.415 1.394 13.844
0.000 0.000 4.289
0.000 0.000 8.307
0.000 0.000 12.325
0.000 2.788 10.947
0.000 2.788 15.161
2.415 1.394 1.453
2.415 1.394 5.666
0.000 0.000 0.000
```

Its space group is No. 164. The total energy is -1.3854 eV per atom. The size of the total moment is 0.000 μB/atom. The value obtained for the calculated volume is 27.97 Å³/atom.

***

Entry 5:
## In6Hg5Bi (PBE-GGA)

Data for crystalline In6Hg5Bi at its relaxed geometry.

Cell and atoms, written as POSCAR:
```
In6Hg5Bi
1.0
6.590 0.000 0.000
-1.942 6.948 0.000
-0.305 -1.568 7.419
In Hg Bi
6 5 1
Cartesian
-0.446 2.434 1.810
0.810 0.433 5.458
2.520 0.132 1.706
1.823 5.247 5.713
3.533 4.947 1.960
4.789 2.946 5.608
0.000 0.000 0.000
-0.480 4.948 3.664
1.024 4.489 0.017
3.319 0.891 7.402
4.822 0.432 3.755
2.171 2.690 3.709
```

Its space group is No. 2. The total energy is -1.8062 eV per atom. The size of the total moment is 0.000 μB/atom. The value obtained for the calculated volume is 28.31 Å³/atom.

***

Entry 6:
## In5HgBi2 (PBE-GGA)

Data for crystalline In5HgBi2 at its relaxed geometry.

Cell and atoms, written as POSCAR:
```
In5HgBi2
1.0
1.591 -11.369 0.000
1.591 11.369 0.000
0.000 0.000 13.441
In Hg Bi
10 2 4
Cartesian
1.591 10.412 8.113
1.591 10.412 12.049
1.591 6.915 7.342
1.591 6.915 12.819
1.591 6.263 3.360
1.591 -6.263 10.081
1.591 -6.915 0.622
1.591 -6.915 6.099
1.591 -10.412 1.392
1.591 -10.412 5.328
1.591 8.137 10.081
1.591 -8.137 3.360
1.591 9.108 1.617
1.591 9.108 5.104
1.591 -9.108 8.337
1.591 -9.108 11.824
```

Its space group is No. 63. The total energy is -2.6626 eV per atom. The size of the total moment is 0.000 μB/atom. The value obtained for the calculated volume is 30.39 Å³/atom.

***

Entry 7:
## In2Hg7Bi (PBE-GGA)

Data for crystalline In2Hg7Bi at its relaxed geometry.

Cell and atoms, written as POSCAR:
```
In2Hg7Bi
1.0
3.374 0.000 0.000
1.641 6.689 0.000
0.587 0.458 12.813
In Hg Bi
2 7 1
Cartesian
0.913 0.935 1.214
4.689 6.211 11.600
1.171 2.074 10.370
1.105 2.393 3.840
2.800 6.356 5.055
2.508 3.344 0.000
2.802 0.790 7.758
4.497 4.754 8.974
4.431 5.073 2.443
2.801 3.573 6.407
```

Its space group is No. 2. The total energy is -1.1271 eV per atom. The size of the total moment is 0.000 μB/atom. The value obtained for the calculated volume is 28.92 Å³/atom.

***

Entry 8:
## In15HgBi4 (PBE-GGA)

Data for crystalline In15HgBi4 at its relaxed geometry.

Cell and atoms, written as POSCAR:
```
In15HgBi4
1.0
5.068 0.000 0.000
0.000 5.068 0.000
0.000 0.000 22.239
In Hg Bi
15 1 4
Cartesian
0.000 0.000 0.000
0.000 0.000 4.368
0.000 0.000 8.878
0.000 0.000 13.362
0.000 0.000 17.871
0.000 2.534 2.061
0.000 2.534 6.570
0.000 2.534 11.120
0.000 2.534 15.669
0.000 2.534 20.178
2.534 0.000 2.061
2.534 0.000 6.570
2.534 0.000 11.120
2.534 0.000 15.669
2.534 0.000 20.178
2.534 2.534 0.000
2.534 2.534 4.271
2.534 2.534 8.817
2.534 2.534 13.423
2.534 2.534 17.968
```

Its space group is No. 123. The total energy is -2.8336 eV per atom. The size of the total moment is 0.000 μB/atom. The value obtained for the calculated volume is 28.56 Å³/atom.

***

Entry 9:
## In3Hg7Bi (PBE-GGA)

Data for crystalline In3Hg7Bi at its relaxed geometry.

Cell and atoms, written as POSCAR:
```
In3Hg7Bi
1.0
3.150 -6.005 0.000
3.150 6.005 0.000
-2.401 0.000 8.579
In Hg Bi
3 7 1
Cartesian
0.000 0.000 0.000
1.443 2.961 5.399
1.443 -2.961 5.399
0.167 0.000 2.989
0.548 3.071 8.380
3.109 2.091 2.865
1.379 0.000 5.904
0.548 -3.071 8.380
3.109 -2.091 2.865
4.533 0.000 5.467
3.141 0.000 0.483
```

Its space group is No. 8. The total energy is -1.2538 eV per atom. The size of the total moment is 0.000 μB/atom. The value obtained for the calculated volume is 29.51 Å³/atom.

***

Entry 10:
## In6HgBi2 (PBE-GGA)

Data for crystalline In6HgBi2 at its relaxed geometry.

Cell and atoms, written as POSCAR:
```
In6HgBi2
1.0
9.998 0.000 0.000
0.000 10.038 0.000
0.000 0.000 5.150
In Hg Bi
12 2 4
Cartesian
0.169 1.661 0.000
1.485 6.507 2.575
1.657 9.871 2.575
3.342 4.852 0.000
3.515 1.488 0.000
4.830 6.680 2.575
5.169 3.357 2.575
6.484 8.549 0.000
6.656 5.186 0.000
8.341 0.167 2.575
8.514 3.531 2.575
9.829 8.376 0.000
0.000 5.019 0.000
4.999 0.000 2.575
1.835 3.178 2.575
3.164 8.196 0.000
6.834 1.841 0.000
8.163 6.860 2.575
```

Its space group is No. 58. The total energy is -2.7024 eV per atom. The size of the total moment is 0.000 μB/atom. The value obtained for the calculated volume is 28.71 Å³/atom.

***

Entry 11:
## InHg2Bi2 (PBE-GGA)

Data for crystalline InHg2Bi2 at its relaxed geometry.

Cell and atoms, written as POSCAR:
```
InHg2Bi2
1.0
-2.345 2.345 7.285
2.345 -2.345 7.285
2.345 2.345 -7.285
In Hg Bi
1 2 2
Cartesian
0.000 0.000 0.000
0.000 0.000 5.882
0.000 0.000 8.688
2.345 0.000 3.642
0.000 2.345 3.642
```

Its space group is No. 139. The total energy is -2.0962 eV per atom. The size of the total moment is 0.000 μB/atom. The value obtained for the calculated volume is 32.05 Å³/atom.

***

Entry 12:
## In2HgBi (PBE-GGA)

Data for crystalline In2HgBi at its relaxed geometry.

Cell and atoms, written as POSCAR:
```
In2HgBi
1.0
-2.136 2.215 6.458
2.136 -2.215 6.458
2.136 2.215 -6.458
In Hg Bi
2 1 1
Cartesian
0.000 0.000 3.111
0.000 0.000 9.804
0.000 0.000 6.458
0.000 0.000 0.000
```

Its space group is No. 71. The total energy is -2.3320 eV per atom. The size of the total moment is 0.000 μB/atom. The value obtained for the calculated volume is 30.55 Å³/atom.